Entry 1:
First-principles (PBE) data for a geometry-optimized FeMo2As structure, as listed in Alexandria.

It has space group P2/m (No. 10), with a = 2.772 Å, b = 3.978 Å, c = 5.322 Å, α = 90.00°, β = 101.98° and γ = 90.00°. The distinct sites, in fractional coordinates, are Fe at (0.000, 0.000, 0.000), Mo at (0.476, 0.500, 0.759) and As at (0.000, 0.000, 0.500).

Entry 2:
First-principles (PBE) data for a geometry-optimized Dy3Ga8 structure, as listed in Alexandria.

It has space group Immm (No. 71), with a = 4.120 Å, b = 4.260 Å, c = 25.284 Å, α = 90.00°, β = 90.00° and γ = 90.00°. The distinct sites, in fractional coordinates, are Dy at (0.000, 0.000, 0.000), Dy at (0.000, 0.500, 0.143), Ga at (0.000, 0.000, 0.252), Ga at (0.000, 0.000, 0.452), Ga at (0.000, 0.500, 0.310) and Ga at (0.000, 0.500, 0.406).

Entry 3:
First-principles (PBE) data for a geometry-optimized AcLaTb2 structure, as listed in Alexandria.

It has space group R3m (No. 160, hexagonal axes), with a = 3.7393 Å, b = 3.7393 Å, c = 35.9538 Å, α = 90.00°, β = 90.00° and γ = 120.00°. The distinct sites, in fractional coordinates, are Ac at (0.0000, 0.0000, 0.0000), La at (0.0000, 0.0000, 0.1660), Tb at (0.0000, 0.0000, 0.5803) and Tb at (0.0000, 0.0000, 0.7518).

The energy above the lowest structure with this stoichiometry is 0.017 eV per atom.

no.,formation energy (eV per formula unit),magnetization (μB/cell)
1,0.68,0.02
2,-5.71,0.00
3,0.21,0.00